Pm8Dy2Tm3, relaxed, DFT PBE; E = -4.46 eV per atom; DFT formation energy = 205.7 meV per atom; energy above the lowest structure with this stoichiometry = 0.189 eV/atom; space group = C2/m
1.0
10.152 -3.845 0.000
10.152 3.845 0.000
-0.002 0.000 5.674
Pm Dy Tm
8 2 3
direct
0.099 0.690 0.000
0.172 0.172 0.500
0.310 0.901 0.000
0.370 0.370 0.500
0.630 0.630 0.500
0.690 0.099 0.000
0.828 0.828 0.500
0.901 0.310 0.000
0.260 0.260 0.001
0.740 0.740 0.999
0.214 0.786 0.500
0.500 0.500 0.000
0.786 0.214 0.500